Entry from Alexandria: a relaxed PrSm4Ga crystal (PBE).

Properties
- space-group type = P4/mmm (123)
- magnetic moment (μB/f.u.) = 0.000
- calculated formation energy (meV/atom) = -164.7
- DOS(E_F) (states/eV/cell) = 8.05
- uncorrected energy (hartree per atom) = -0.1695

```
PrSm4Ga
1.0
3.6456 0.0000 0.0000
0.0000 3.6456 0.0000
0.0000 0.0000 14.1071
Sm Pr Ga
4 1 1
Direct
0.0000 0.0000 0.3701
0.5000 0.5000 0.1847
0.0000 0.0000 0.6299
0.5000 0.5000 0.8153
0.0000 0.0000 0.0000
0.5000 0.5000 0.5000
```